CaAl2Ag | PBE | optimized geometry Values from VASP.

Properties
ρ (g/cm3): 3.786
Formation energy (eV/atom): -0.12
Space-group type: P2/m, No. 10
Volume (Å³ per atom): 22.1

The structure in Quantum ESPRESSO input format:
```
&SYSTEM
  ibrav = 0, nat = 4, ntyp = 3
/
ATOMIC_SPECIES
Ag 107.87 Ag.upf
Ca 40.08 Ca.upf
Al 26.98 Al.upf
ATOMIC_POSITIONS crystal
Ag 0.5000 0.7500 0.7500
Ca 0.5000 0.2500 0.2500
Al 0.0000 0.7488 0.5038
Al 0.0000 0.7512 0.9962
CELL_PARAMETERS angstrom
4.6800 0.0000 0.0000
0.0000 3.4238 -0.2071
0.0000 0.3438 5.5060
```